1.
This record from Alexandria via LeMat-Bulk describes an optimized crystal structure of PrNdAgSn. The functional is PBE.

a = 5.4242 Å, b = 5.4242 Å, c = 5.4242 Å
α = 60.00°, β = 60.00°, γ = 60.00°
Last column: nearest neighbours and their distance in Å.
Atoms (fractional coordinates):
Pr 0.0000 0.0000 0.0000  4 Ag 3.32, 4 Sn 3.32
Nd 0.5000 0.5000 0.5000  4 Sn 3.32, 4 Ag 3.32
Ag 0.7500 0.7500 0.7500  4 Pr 3.32, 4 Nd 3.32
Sn 0.2500 0.2500 0.2500  4 Pr 3.32, 4 Nd 3.32

DOS(E_F), states/eV per cell: 4.5
DFT total energy, eV/atom: -4.621
Formation energy, eV/atom: -0.521

2.
This record from Alexandria via LeMat-Bulk describes an optimized crystal structure of PrNd2Ag2Sn2. The functional is PBE.

a = 9.7873 Å, b = 9.7873 Å, c = 9.7873 Å
α = 28.81°, β = 28.81°, γ = 28.81°
Last column: nearest neighbours and their distance in Å.
Atoms (fractional coordinates):
Pr 0.0000 0.0000 0.0000  6 Sn 3.44, 6 Ag 3.48, 2 Nd 3.65
Nd 0.1296 0.1296 0.1296  3 Ag 3.23, 3 Sn 3.26, 3 Nd 3.50
Nd 0.8704 0.8704 0.8704  3 Ag 3.23, 3 Sn 3.26, 3 Nd 3.50
Ag 0.4064 0.4064 0.4064  3 Sn 2.81
Ag 0.5936 0.5936 0.5936  3 Sn 2.81
Sn 0.2627 0.2627 0.2627  3 Ag 2.81
Sn 0.7373 0.7373 0.7373  3 Ag 2.81

DOS(E_F), states/eV per cell: 3.8
DFT total energy, eV/atom: -4.437
Formation energy, eV/atom: -0.433

3.
This record from Alexandria via LeMat-Bulk describes an optimized crystal structure of Pr2NdAg2Sn2. The functional is PBE.

a = 9.8742 Å, b = 9.8742 Å, c = 9.8742 Å
α = 28.51°, β = 28.51°, γ = 28.51°
Last column: nearest neighbours and their distance in Å.
Atoms (fractional coordinates):
Pr 0.1286 0.1286 0.1286  3 Sn 3.26, 3 Ag 3.31, 3 Pr 3.54, 1 Nd 3.65
Pr 0.8714 0.8714 0.8714  3 Sn 3.26, 3 Ag 3.31, 3 Pr 3.54, 1 Nd 3.65
Nd 0.0000 0.0000 0.0000  6 Ag 3.39, 6 Sn 3.44, 2 Pr 3.65
Ag 0.4001 0.4001 0.4001  3 Sn 2.81
Ag 0.5999 0.5999 0.5999  3 Sn 2.81
Sn 0.2634 0.2634 0.2634  3 Ag 2.81
Sn 0.7366 0.7366 0.7366  3 Ag 2.81

DOS(E_F), states/eV per cell: 3.9
DFT total energy, eV/atom: -4.437
Formation energy, eV/atom: -0.432

4.
This record from Alexandria via LeMat-Bulk describes an optimized crystal structure of PrNdTcAg. The functional is PBE.

a = 5.1517 Å, b = 5.1517 Å, c = 5.1517 Å
α = 60.00°, β = 60.00°, γ = 60.00°
Last column: nearest neighbours and their distance in Å.
Atoms (fractional coordinates):
Pr 0.0000 0.0000 0.0000  4 Tc 3.15, 4 Ag 3.15
Nd 0.5000 0.5000 0.5000  4 Tc 3.15, 4 Ag 3.15
Tc 0.7500 0.7500 0.7500  4 Pr 3.15, 4 Nd 3.15
Ag 0.2500 0.2500 0.2500  4 Nd 3.15, 4 Pr 3.15

DOS(E_F), states/eV per cell: 4.4
DFT total energy, eV/atom: -5.649
Formation energy, eV/atom: 0.042

5.
This record from Alexandria via LeMat-Bulk describes an optimized crystal structure of Pr2NdAgTe5. The functional is PBE.

a = 9.8401 Å, b = 9.8401 Å, c = 13.4332 Å
α = 90.00°, β = 90.00°, γ = 153.89°
Last column: nearest neighbours and their distance in Å.
Atoms (fractional coordinates):
Pr 0.1108 0.8892 0.5000  8 Te 3.27-3.40
Pr 0.1243 0.8757 0.1203  8 Te 3.26-3.57
Pr 0.8757 0.1243 0.6203  8 Te 3.26-3.57
Pr 0.8892 0.1108 0.0000  8 Te 3.27-3.40
Nd 0.1934 0.8066 0.8226  6 Te 3.05-3.20, 2 Ag 3.35
Nd 0.8066 0.1934 0.3226  6 Te 3.05-3.20, 2 Ag 3.35
Ag 0.4332 0.5668 0.2747  4 Te 2.76-2.89
Ag 0.5668 0.4332 0.7747  4 Te 2.76-2.89
Te 0.0415 0.9585 0.8909  2 Ag 2.76, 1 Nd 3.05
Te 0.2872 0.7128 0.4873  2 Nd 3.16, 3 Pr 3.32-3.39
Te 0.3092 0.6908 0.1520  1 Ag 2.89, 2 Nd 3.19
Te 0.3602 0.6398 0.8134  1 Nd 3.20, 4 Pr 3.40-3.43
Te 0.4989 0.5011 0.5928  1 Ag 2.77
Te 0.5011 0.4989 0.0928  1 Ag 2.77
Te 0.6398 0.3602 0.3134  1 Nd 3.20, 4 Pr 3.40-3.43
Te 0.6908 0.3092 0.6520  1 Ag 2.89, 2 Nd 3.19
Te 0.7128 0.2872 0.9873  2 Nd 3.16, 3 Pr 3.32-3.39
Te 0.9585 0.0415 0.3909  2 Ag 2.76, 1 Nd 3.05

Energy relative to the elements, uncorrected, eV per atom: -1.200
DOS(E_F), states/eV per cell: 0.2
DFT total energy, eV/atom: -4.854

6.
This record from Alexandria via LeMat-Bulk describes an optimized crystal structure of PrNd2AgTe5. The functional is PBE.

a = 9.8236 Å, b = 9.8236 Å, c = 13.4288 Å
α = 90.00°, β = 90.00°, γ = 153.92°
Last column: nearest neighbours and their distance in Å.
Atoms (fractional coordinates):
Pr 0.1936 0.8064 0.5000  6 Te 3.07-3.21, 2 Ag 3.36
Pr 0.8064 0.1936 0.0000  6 Te 3.07-3.21, 2 Ag 3.36
Nd 0.1107 0.8893 0.1772  8 Te 3.24-3.39
Nd 0.1240 0.8760 0.7976  8 Te 3.25-3.59
Nd 0.8760 0.1240 0.2976  8 Te 3.25-3.59
Nd 0.8893 0.1107 0.6772  8 Te 3.24-3.39
Ag 0.4337 0.5663 0.9528  4 Te 2.76-2.90
Ag 0.5663 0.4337 0.4528  4 Te 2.76-2.90
Te 0.0409 0.9591 0.5696  2 Ag 2.76, 1 Pr 3.07
Te 0.2876 0.7124 0.1669  2 Pr 3.17, 3 Nd 3.30-3.39
Te 0.3104 0.6896 0.8279  1 Ag 2.90, 2 Pr 3.20
Te 0.3614 0.6386 0.4911  1 Pr 3.21, 4 Nd 3.38-3.43
Te 0.4987 0.5013 0.2707  1 Ag 2.77
Te 0.5013 0.4987 0.7707  1 Ag 2.77
Te 0.6386 0.3614 0.9911  1 Pr 3.21, 4 Nd 3.38-3.43
Te 0.6896 0.3104 0.3279  1 Ag 2.90, 2 Pr 3.20
Te 0.7124 0.2876 0.6669  2 Pr 3.17, 3 Nd 3.30-3.39
Te 0.9591 0.0409 0.0696  2 Ag 2.76, 1 Pr 3.07

Energy relative to the elements, uncorrected, eV per atom: -1.181
DOS(E_F), states/eV per cell: 0.3
DFT total energy, eV/atom: -4.834

7.
This record from Alexandria via LeMat-Bulk describes an optimized crystal structure of PrNd2Tl2Ag2. The functional is PBE.

a = 9.6463 Å, b = 9.6463 Å, c = 9.6463 Å
α = 29.89°, β = 29.89°, γ = 29.89°
Last column: nearest neighbours and their distance in Å.
Atoms (fractional coordinates):
Pr 0.0000 0.0000 0.0000  6 Ag 3.39, 2 Nd 3.46, 6 Tl 3.50
Nd 0.1252 0.1252 0.1252  3 Tl 3.22, 3 Ag 3.32, 1 Pr 3.46
Nd 0.8748 0.8748 0.8748  3 Tl 3.22, 3 Ag 3.32, 1 Pr 3.46
Tl 0.2608 0.2608 0.2608  3 Ag 2.88, 3 Nd 3.22
Tl 0.7392 0.7392 0.7392  3 Ag 2.88, 3 Nd 3.22
Ag 0.3985 0.3985 0.3985  3 Tl 2.88
Ag 0.6015 0.6015 0.6015  3 Tl 2.88

DOS(E_F), states/eV per cell: 5.2
DFT total energy, eV/atom: -3.747
Formation energy, eV/atom: -0.211

8.
This record from Alexandria via LeMat-Bulk describes an optimized crystal structure of Pr2NdTl2Ag2. The functional is PBE.

a = 9.6736 Å, b = 9.6736 Å, c = 9.6736 Å
α = 29.80°, β = 29.80°, γ = 29.80°
Last column: nearest neighbours and their distance in Å.
Atoms (fractional coordinates):
Pr 0.1250 0.1250 0.1250  3 Tl 3.24, 3 Ag 3.36, 1 Nd 3.46
Pr 0.8750 0.8750 0.8750  3 Tl 3.24, 3 Ag 3.36, 1 Nd 3.46
Nd 0.0000 0.0000 0.0000  6 Ag 3.35, 2 Pr 3.46, 6 Tl 3.48
Tl 0.2625 0.2625 0.2625  3 Ag 2.88
Tl 0.7375 0.7375 0.7375  3 Ag 2.88
Ag 0.3957 0.3957 0.3957  3 Tl 2.88
Ag 0.6043 0.6043 0.6043  3 Tl 2.88

DOS(E_F), states/eV per cell: 5.5
DFT total energy, eV/atom: -3.749
Formation energy, eV/atom: -0.212

9.
This record from Alexandria via LeMat-Bulk describes an optimized crystal structure of PrNdTmAg. The functional is PBE.

a = 3.6584 Å, b = 3.6584 Å, c = 8.8882 Å
α = 90.00°, β = 90.00°, γ = 90.00°
Last column: nearest neighbours and their distance in Å.
Atoms (fractional coordinates):
Pr 0.0000 0.0000 0.0000  4 Tm 3.63, 4 Pr 3.66, 4 Nd 3.71
Nd 0.5000 0.5000 0.7013  4 Ag 3.30, 4 Nd 3.66, 1 Tm 3.69
Tm 0.5000 0.5000 0.2862  4 Ag 3.06
Ag 0.0000 0.0000 0.4701  4 Tm 3.06, 4 Nd 3.30

DOS(E_F), states/eV per cell: 4.8
DFT total energy, eV/atom: -4.346
Formation energy, eV/atom: -0.128
Energy relative to the lowest polymorph listed for this composition, meV/atom: 0

10.
This record from Alexandria via LeMat-Bulk describes an optimized crystal structure of PrNdTmAg. The functional is PBE.

a = 5.4870 Å, b = 5.4870 Å, c = 5.4870 Å
α = 60.00°, β = 60.00°, γ = 60.00°
Last column: nearest neighbours and their distance in Å.
Atoms (fractional coordinates):
Pr 0.0000 0.0000 0.0000  4 Tm 3.36, 4 Ag 3.36
Nd 0.5000 0.5000 0.5000  4 Tm 3.36, 4 Ag 3.36
Tm 0.7500 0.7500 0.7500  4 Nd 3.36, 4 Pr 3.36
Ag 0.2500 0.2500 0.2500  4 Pr 3.36, 4 Nd 3.36

DOS(E_F), states/eV per cell: 3.5
DFT total energy, eV/atom: -4.170
Formation energy, eV/atom: 0.048
Energy relative to the lowest polymorph listed for this composition, meV/atom: 176

11.
This record from Alexandria via LeMat-Bulk describes an optimized crystal structure of PrNdYAg. The functional is PBE.

a = 3.6953 Å, b = 3.6953 Å, c = 8.8789 Å
α = 90.00°, β = 90.00°, γ = 90.00°
Last column: nearest neighbours and their distance in Å.
Atoms (fractional coordinates):
Pr 0.0000 0.0000 0.0000  4 Y 3.67, 4 Pr 3.70, 4 Nd 3.70
Nd 0.5000 0.5000 0.7057  4 Ag 3.28
Y 0.5000 0.5000 0.2895  4 Ag 3.13
Ag 0.0000 0.0000 0.4831  4 Y 3.13, 4 Nd 3.28

DOS(E_F), states/eV per cell: 5.9
DFT total energy, eV/atom: -4.840
Formation energy, eV/atom: -0.124

12.
This record from Alexandria via LeMat-Bulk describes an optimized crystal structure of PrNd2Zn2Ag2. The functional is PBE.

a = 9.6270 Å, b = 9.6270 Å, c = 9.6270 Å
α = 28.28°, β = 28.28°, γ = 28.28°
Last column: nearest neighbours and their distance in Å.
Atoms (fractional coordinates):
Pr 0.0000 0.0000 0.0000  6 Ag 3.28, 6 Zn 3.36, 2 Nd 3.45
Nd 0.1245 0.1245 0.1245  3 Zn 3.09, 3 Ag 3.16, 1 Pr 3.45
Nd 0.8755 0.8755 0.8755  3 Zn 3.09, 3 Ag 3.16, 1 Pr 3.45
Zn 0.2616 0.2616 0.2616  3 Ag 2.72
Zn 0.7384 0.7384 0.7384  3 Ag 2.72
Ag 0.3995 0.3995 0.3995  3 Zn 2.72
Ag 0.6005 0.6005 0.6005  3 Zn 2.72

DOS(E_F), states/eV per cell: 6.4
DFT total energy, eV/atom: -3.448
Formation energy, eV/atom: -0.224